Entry 1:
Computed, not measured: a relaxed structure of Ta5Pb11O26 at the PBE-GGA level of DFT.

POSCAR file:
```
Ta5Pb11O26
1.0
7.677 -0.001 0.002
3.847 6.643 0.002
3.942 2.272 12.671
Ta Pb O
5 11 26
Cartesian
0.000 0.000 0.000
1.924 3.321 0.001
3.838 0.000 0.001
5.809 1.136 6.336
3.894 4.457 6.336
5.762 3.321 0.002
9.663 3.390 9.404
7.777 6.662 9.404
11.590 6.681 9.390
1.971 1.136 6.336
7.733 4.457 6.337
5.848 3.370 9.567
5.803 5.525 3.271
7.689 2.252 3.271
3.875 2.234 3.285
9.618 5.544 3.108
12.110 6.980 12.437
4.253 2.451 10.709
4.291 4.322 8.300
7.298 6.981 12.381
5.891 1.547 8.300
9.713 5.598 10.136
9.698 2.816 12.381
4.486 2.586 6.008
5.820 5.274 10.693
9.759 3.725 6.764
7.481 2.393 10.693
8.114 6.577 6.764
7.515 4.332 8.506
7.951 4.583 4.169
7.984 6.522 1.982
7.351 2.337 5.911
9.645 3.640 1.982
5.707 5.190 5.911
10.980 6.329 6.666
5.767 6.098 0.294
9.575 7.368 4.374
8.167 1.934 0.294
5.753 3.316 2.539
11.174 4.592 4.374
11.213 6.463 1.966
3.356 1.934 0.238
```

Raw formation energy in eV per atom: -1.835
Total moment in μB per formula unit: 0.0
Crystal system: monoclinic
Space-group type: C2/m (12)
Uncorrected energy in eV for the cell shown: -306.06



Entry 2:
Computed, not measured: a relaxed structure of Sr2MgInPd6 at the PBE-GGA level of DFT.

POSCAR file:
```
Sr2MgInPd6
1.0
-2.719 -6.260 1.162
5.894 -1.700 -3.109
1.906 -5.154 4.195
Sr Mg In Pd
2 1 1 6
Cartesian
4.811 -5.318 -0.161
0.270 -7.796 2.409
0.000 0.000 0.000
1.588 -3.980 -0.973
3.785 -2.892 -2.060
1.686 -6.591 -0.155
1.716 -4.491 1.654
1.296 -10.222 4.308
3.395 -6.523 2.403
3.365 -8.622 0.595
```

Formation enthalpy at 0 K in kJ/mol of formula units: -477
Total moment in μB per formula unit: 0.0
Crystal system: triclinic
Space-group type: P-1 (2)
Uncorrected energy in eV for the cell shown: -43.80



Entry 3:
Computed, not measured: a relaxed structure of LaHg2Mo at the PBE-GGA level of DFT.

POSCAR file:
```
LaHg2Mo
1.0
6.951 0.017 0.053
-2.722 4.745 -0.022
1.506 0.869 2.744
Hg La Mo
2 1 1
Cartesian
0.000 0.000 0.000
4.229 0.443 1.399
-0.608 2.807 1.361
2.114 2.381 0.016
```

Formation enthalpy at 0 K in kJ/mol of formula units: 128
Total moment in μB per formula unit: 0.0
Crystal system: monoclinic
Space-group type: C2/m (12)
Uncorrected energy in eV for the cell shown: -15.04



Entry 4:
Computed, not measured: a relaxed structure of Pr2DyTe2O2 at the PBE-GGA level of DFT.

POSCAR file:
```
Pr2DyTe2O2
1.0
-1.692 2.608 3.128
-3.149 1.311 -2.797
-2.499 -8.255 2.422
Pr Dy Te O
2 1 2 2
Cartesian
-3.842 -4.917 2.021
-3.498 0.581 0.732
0.000 0.000 0.000
-1.795 -2.297 0.944
-5.545 -2.038 1.809
-1.574 0.655 -1.398
-0.846 1.304 1.564
```

Raw formation energy in eV per atom: -2.192
Total moment in μB per formula unit: 0.0
Crystal system: tetragonal
Space-group type: I4/mmm (139)
Uncorrected energy in eV for the cell shown: -45.70



Entry 5:
Computed, not measured: a relaxed structure of TlInTe2 at the PBE-GGA level of DFT.

POSCAR file:
```
TlInTe2
1.0
-0.824 -3.549 -2.495
4.076 0.237 -1.683
2.265 -3.986 4.923
In Te Tl
1 2 1
Cartesian
3.696 -5.300 2.411
1.941 -3.416 4.218
2.449 -3.104 -0.301
0.829 -1.458 1.801
```

Raw formation energy in eV per atom: -0.223
Total moment in μB per formula unit: 0.0
Crystal system: tetragonal
Space-group type: P4mm (99)
Uncorrected energy in eV for the cell shown: -12.28



Entry 6:
Computed, not measured: a relaxed structure of Li4PaAu3O12 at the PBE-GGA level of DFT.

POSCAR file:
```
Li4PaAu3O12
1.0
6.525 0.000 0.000
-2.175 6.152 0.000
-2.175 -3.076 5.328
Li Pa Au O
4 1 3 12
Cartesian
3.263 0.000 0.000
1.088 1.538 2.664
-1.088 3.076 0.000
-1.088 -1.538 2.664
0.000 0.000 0.000
-2.175 1.538 2.664
2.175 3.076 0.000
2.175 -1.538 2.664
-0.218 4.768 0.679
2.393 -1.692 4.649
1.621 3.468 2.931
3.796 3.880 0.859
4.568 -0.104 1.538
-0.554 1.880 1.538
1.957 1.280 0.859
-2.393 3.180 3.790
0.554 -0.392 2.397
-1.621 -0.804 4.468
2.729 1.196 3.790
0.218 1.796 4.468
```

Raw formation energy in eV per atom: -0.951
Total moment in μB per formula unit: 6.1
Crystal system: cubic
Space-group type: Im-3 (204)
Uncorrected energy in eV for the cell shown: -105.49



Entry 7:
Computed, not measured: a relaxed structure of ThAl2GaAu4 at the PBE-GGA level of DFT.

POSCAR file:
```
ThAl2GaAu4
1.0
-1.988 3.933 0.101
-4.372 0.248 0.507
-1.022 1.709 9.514
Th Al Ga Au
1 2 1 4
Cartesian
0.000 0.000 0.000
-5.555 4.412 7.431
-1.826 1.478 2.691
-3.691 2.945 5.061
-3.347 3.044 7.981
-5.945 4.300 4.122
-1.436 1.590 6.000
-4.035 2.846 2.142
```

Formation enthalpy at 0 K in kJ/mol of formula units: -362
Total moment in μB per formula unit: 0.0
Crystal system: trigonal
Space-group type: R-3m (166)
Uncorrected energy in eV for the cell shown: -34.79



Entry 8:
Computed, not measured: a relaxed structure of HoHgGe at the PBE-GGA level of DFT.

POSCAR file:
```
HoHgGe
1.0
3.704 0.976 -1.139
2.604 5.111 -1.185
-2.874 -2.867 9.545
Hg Ho Ge
2 2 2
Cartesian
1.548 0.290 1.838
2.783 2.817 0.334
2.570 2.795 3.523
1.483 2.551 7.011
1.436 0.297 4.724
0.011 -0.061 6.995
```

Formation enthalpy at 0 K in kJ/mol of formula units: -157
Total moment in μB per formula unit: 0.0
Crystal system: triclinic
Space-group type: P1 (1)
Uncorrected energy in eV for the cell shown: -22.26